[1]
Compound: BaCrCo
Source: Alexandria
Functional: GGA-PBE
Structure: optimized geometry

Properties
* ΔE to the lowest computed polymorph: 0.0881 eV per atom
* formation energy from the elements: 0.750 eV per atom
* calculated total energy: -32.80 eV/cell

Lattice parameters (Å, degrees): 3.336 3.336 11.781 90.00 90.00 90.00
Space group I4mm (No. 107)
Inequivalent atoms, fractional coordinates:
Ba (0.000, 0.000, 0.000) [2 per cell]
Cr (0.000, 0.000, 0.732) [2 per cell]
Co (0.000, 0.000, 0.281) [2 per cell]

***

[2]
Compound: CsCuH6Ru
Source: Alexandria
Functional: GGA-PBE
Structure: optimized geometry

Properties
* calculated total energy: -34.47 eV/cell

Lattice parameters (Å, degrees): 4.403 6.446 4.406 90.00 107.91 90.00
Space group Pm (No. 6)
Inequivalent atoms, fractional coordinates:
Cs (0.000, 0.000, 0.000) [1 per cell]
Cu (0.716, 0.500, 0.287) [1 per cell]
H (0.020, 0.324, 0.486) [2 per cell]
H (0.474, 0.356, 0.533) [2 per cell]
H (0.516, 0.324, 0.985) [2 per cell]
Ru (0.290, 0.500, 0.714) [1 per cell]

***

[3]
Compound: MnFe2Si
Source: Alexandria
Functional: GGA-PBE
Structure: optimized geometry

Properties
* calculated total energy: -32.26 eV/cell
* formation energy without anion corrections: -0.186 eV/atom

Lattice parameters (Å, degrees): 2.808 2.808 5.572 90.00 90.00 90.00
Space group P4mm (No. 99)
Inequivalent atoms, fractional coordinates:
Mn (0.000, 0.000, 0.000) [1 per cell]
Fe (0.000, 0.000, 0.491) [1 per cell]
Fe (0.500, 0.500, 0.751) [1 per cell]
Si (0.500, 0.500, 0.257) [1 per cell]